1.
VASP calculation (PBE) on a relaxed CaNd3Sm2 crystal.

The calculation puts the energy of formation at 0.052 eV/atom. For the volume, the calculation gives 847.37 Å³/cell.

The space group is C2/c (No. 15) and the conventional cell measures 10.4409, 7.3460 and 12.2162 Å, with angles of 90.00, 115.26 and 90.00 degrees. The asymmetric unit holds Ca at (0.0000, 0.1247, 0.2500), Nd at (0.0000, 0.3748, 0.7500), Nd at (0.1683, 0.1250, 0.5862) and Sm at (0.1631, 0.3749, 0.0761).

2.
VASP calculation (PBE) on a relaxed CaNd2Sm2 crystal.

The calculation puts the energy of formation at 0.028 eV/atom. For the volume, the calculation gives 535.54 Å³/cell.

The space group is R-3m (No. 166, hexagonal axes) and the conventional cell measures 3.6813, 3.6813 and 45.6301 Å, with angles of 90.00, 90.00 and 120.00 degrees. The asymmetric unit holds Ca at (0.0000, 0.0000, 0.0000), Nd at (0.0000, 0.0000, 0.4038) and Sm at (0.0000, 0.0000, 0.1993).

3.
VASP calculation (PBE) on a relaxed CaNd2Sm9 crystal.

The calculation puts the energy of formation at 0.040 eV/atom. For the volume, the calculation gives 413.74 Å³/cell.

The space group is P4/mmm (No. 123) and the conventional cell measures 5.1703, 5.1703 and 15.4773 Å, with angles of 90.00, 90.00 and 90.00 degrees. The asymmetric unit holds Ca at (0.0000, 0.0000, 0.0000), Nd at (0.0000, 0.0000, 0.3331), Sm at (0.0000, 0.5000, 0.1713), Sm at (0.0000, 0.5000, 0.5000), Sm at (0.5000, 0.5000, 0.0000) and Sm at (0.5000, 0.5000, 0.3334).

4.
VASP calculation (PBE) on a relaxed CaNdSm4 crystal.

The calculation puts the energy of formation at 0.202 eV/atom. For the volume, the calculation gives 882.23 Å³/cell. The distance to the lowest polymorph of the same formula is 0.91 eV/f.u.

The space group is F-43m (No. 216) and the conventional cell measures 9.5909, 9.5909 and 9.5909 Å, with angles of 90.00, 90.00 and 90.00 degrees. The asymmetric unit holds Ca at (0.0000, 0.0000, 0.0000), Nd at (0.2500, 0.2500, 0.7500) and Sm at (0.1237, 0.1237, 0.3763).

5.
VASP calculation (PBE) on a relaxed CaNdSm2 crystal.

The calculation puts the energy of formation at 0.049 eV/atom. For the volume, the calculation gives 430.15 Å³/cell. The distance to the lowest polymorph of the same formula is 0.01 eV/f.u.

The space group is R-3m (No. 166, hexagonal axes) and the conventional cell measures 3.6814, 3.6814 and 36.6497 Å, with angles of 90.00, 90.00 and 120.00 degrees. The asymmetric unit holds Ca at (0.0000, 0.0000, 0.0000), Nd at (0.0000, 0.0000, 0.5000) and Sm at (0.0000, 0.0000, 0.2466).

6.
VASP calculation (PBE) on a relaxed Ca2Nd5Sm5 crystal.

The calculation puts the energy of formation at 0.052 eV/atom. For the volume, the calculation gives 847.92 Å³/cell.

The space group is C2/m (No. 12) and the conventional cell measures 15.6131, 5.2085 and 11.6407 Å, with angles of 90.00, 116.40 and 90.00 degrees. The asymmetric unit holds Ca at (0.0831, 0.0000, 0.2494), Nd at (0.0000, 0.5000, 0.0000), Nd at (0.0880, 0.5000, 0.7511), Nd at (0.1653, 0.5000, 0.5038), Sm at (0.0000, 0.0000, 0.5000), Sm at (0.1719, 0.0000, 0.0012) and Sm at (0.2457, 0.0000, 0.7506).

7.
VASP calculation (PBE) on a relaxed CaNdSmSn crystal.

The calculation puts the energy of formation at -0.284 eV/atom. For the volume, the calculation gives 483.21 Å³/cell.

The space group is F-43m (No. 216) and the conventional cell measures 7.8471, 7.8471 and 7.8471 Å, with angles of 90.00, 90.00 and 90.00 degrees. The asymmetric unit holds Ca at (0.0000, 0.0000, 0.0000), Nd at (0.2500, 0.2500, 0.7500), Sm at (0.2500, 0.2500, 0.2500) and Sn at (0.0000, 0.0000, 0.5000).

8.
VASP calculation (PBE) on a relaxed SrCaNdSm crystal.

The calculation puts the energy of formation at 0.162 eV/atom. For the volume, the calculation gives 630.60 Å³/cell.

The space group is F-43m (No. 216) and the conventional cell measures 8.5753, 8.5753 and 8.5753 Å, with angles of 90.00, 90.00 and 90.00 degrees. The asymmetric unit holds Sr at (0.0000, 0.0000, 0.0000), Ca at (0.2500, 0.2500, 0.7500), Nd at (0.0000, 0.0000, 0.5000) and Sm at (0.2500, 0.2500, 0.2500).

9.
VASP calculation (PBE) on a relaxed CaTb3Nd2Sm6 crystal.

The calculation puts the energy of formation at 0.032 eV/atom. For the volume, the calculation gives 814.40 Å³/cell.

The space group is C2/m (No. 12) and the conventional cell measures 6.2986, 10.9125 and 12.0325 Å, with angles of 90.00, 100.02 and 90.00 degrees. The asymmetric unit holds Ca at (0.0000, 0.0000, 0.0000), Tb at (0.0000, 0.1658, 0.5000), Tb at (0.0000, 0.5000, 0.5000), Nd at (0.0000, 0.3331, 0.0000), Sm at (0.2451, 0.3310, 0.7446) and Sm at (0.2482, 0.5000, 0.2560).

10.
VASP calculation (PBE) on a relaxed CaTbNdSm crystal.

The calculation puts the energy of formation at 0.048 eV/atom. For the volume, the calculation gives 141.11 Å³/cell. The distance to the lowest polymorph of the same formula is 0.00 eV/f.u.

The space group is P4mm (No. 99) and the conventional cell measures 3.6628, 3.6628 and 10.5182 Å, with angles of 90.00, 90.00 and 90.00 degrees. The asymmetric unit holds Ca at (0.0000, 0.0000, 0.0000), Tb at (0.0000, 0.0000, 0.4961), Nd at (0.5000, 0.5000, 0.7318) and Sm at (0.5000, 0.5000, 0.2648).

11.
VASP calculation (PBE) on a relaxed CaTbNdSm crystal.

The calculation puts the energy of formation at 0.132 eV/atom. For the volume, the calculation gives 562.27 Å³/cell. The distance to the lowest polymorph of the same formula is 0.34 eV/f.u.

The space group is F-43m (No. 216) and the conventional cell measures 8.2537, 8.2537 and 8.2537 Å, with angles of 90.00, 90.00 and 90.00 degrees. The asymmetric unit holds Ca at (0.0000, 0.0000, 0.0000), Tb at (0.0000, 0.0000, 0.5000), Nd at (0.2500, 0.2500, 0.2500) and Sm at (0.2500, 0.2500, 0.7500).

12.
VASP calculation (PBE) on a relaxed CaTb2Nd3Sm6 crystal.

The calculation puts the energy of formation at 0.041 eV/atom. For the volume, the calculation gives 823.37 Å³/cell.

The space group is C2/m (No. 12) and the conventional cell measures 6.3283, 10.9679 and 12.0478 Å, with angles of 90.00, 100.06 and 90.00 degrees. The asymmetric unit holds Ca at (0.0000, 0.0000, 0.0000), Tb at (0.0000, 0.3332, 0.0000), Nd at (0.0000, 0.1660, 0.5000), Nd at (0.0000, 0.5000, 0.5000), Sm at (0.2442, 0.5000, 0.2499) and Sm at (0.2460, 0.3299, 0.7505).